Here is an optimized crystal structure of NdSmGa2Pd5 from the Alexandria database. Energies are from GGA-PBE.

For the energy of formation, the calculation gives -0.781 eV per atom. The calculation puts the total moment at 0.0 Bohr magnetons per cell. The density is 9.43 g/cm3.

```
data_NdSmGa2Pd5
_cell_length_a 4.283
_cell_length_b 4.283
_cell_length_c 9.275
_cell_angle_alpha 90.00
_cell_angle_beta 90.00
_cell_angle_gamma 90.00
_space_group_name_H-M_alt 'P 4/m m m'
_space_group_IT_number 123
_space_group_name_Hall '-P 4 2'
loop_
_atom_site_label
_atom_site_type_symbol
_atom_site_fract_x
_atom_site_fract_y
_atom_site_fract_z
Nd1 Nd 0.000 0.000 0.000
Sm1 Sm 0.000 0.000 0.500
Ga1 Ga 0.500 0.500 0.364
Pd1 Pd 0.000 0.500 0.226
Pd2 Pd 0.500 0.500 0.000
```

Here is an optimized crystal structure of CaPrZnRh from the Alexandria database. Energies are from GGA-PBE.

For the energy above the most stable polymorph in this dataset, the calculation gives 89 meV per atom. For the energy of formation, the calculation gives -0.383 eV per atom. The calculation puts the total moment at 0.0 Bohr magnetons per cell. The density is 6.30 g/cm3.

```
data_CaPrZnRh
_cell_length_a 7.168
_cell_length_b 7.168
_cell_length_c 7.168
_cell_angle_alpha 90.00
_cell_angle_beta 90.00
_cell_angle_gamma 90.00
_space_group_name_H-M_alt 'F -4 3 m'
_space_group_IT_number 216
_space_group_name_Hall 'F -4 2 3'
loop_
_atom_site_label
_atom_site_type_symbol
_atom_site_fract_x
_atom_site_fract_y
_atom_site_fract_z
Ca1 Ca 0.000 0.000 0.000
Pr1 Pr 0.000 0.000 0.500
Zn1 Zn 0.250 0.250 0.250
Rh1 Rh 0.250 0.250 0.750
```

Here is an optimized crystal structure of Tl12S5F3 from the Alexandria database. Energies are from GGA-PBE.

For the uncorrected formation energy, the calculation gives -0.574 eV/atom. The calculation puts the total moment at 0.0 Bohr magnetons per cell. The density is 6.95 g/cm3.

```
data_Tl12S5F3
_cell_length_a 17.221
_cell_length_b 17.221
_cell_length_c 17.221
_cell_angle_alpha 90.00
_cell_angle_beta 90.00
_cell_angle_gamma 90.00
_space_group_name_H-M_alt 'I a -3 d'
_space_group_IT_number 230
_space_group_name_Hall '-I 4bd 2c 3'
loop_
_atom_site_label
_atom_site_type_symbol
_atom_site_fract_x
_atom_site_fract_y
_atom_site_fract_z
Tl1 Tl 0.020 0.081 0.653
S1 S 0.000 0.000 0.000
S2 S 0.000 0.250 0.375
F1 F 0.000 0.250 0.125
```

Here is an optimized crystal structure of NaCd3Bi3 from the Alexandria database. Energies are from GGA-PBE.

For the energy above the most stable polymorph in this dataset, the calculation gives 0 meV per atom. For the energy of formation, the calculation gives -0.019 eV per atom. The calculation puts the total moment at 0.0 Bohr magnetons per cell. The density is 7.72 g/cm3.

```
data_NaCd3Bi3
_cell_length_a 7.9438
_cell_length_b 7.9438
_cell_length_c 23.3259
_cell_angle_alpha 90.00
_cell_angle_beta 90.00
_cell_angle_gamma 120.00
_space_group_name_H-M_alt 'R -3'
_space_group_IT_number 148
_space_group_name_Hall '-R 3'
loop_
_atom_site_label
_atom_site_type_symbol
_atom_site_fract_x
_atom_site_fract_y
_atom_site_fract_z
Na1 Na 0.0000 0.0000 0.1720
Cd1 Cd 0.0213 0.6292 0.3692
Bi1 Bi 0.0125 0.7291 0.5698
```

Here is an optimized crystal structure of Y3HoZn4 from the Alexandria database. Energies are from GGA-PBE.

For the energy of formation, the calculation gives -0.359 eV per atom. The calculation puts the total moment at 0.0 Bohr magnetons per cell. The density is 6.30 g/cm3.

```
data_Y3HoZn4
_cell_length_a 5.0594
_cell_length_b 5.0594
_cell_length_c 24.7285
_cell_angle_alpha 90.00
_cell_angle_beta 90.00
_cell_angle_gamma 120.00
_space_group_name_H-M_alt 'R -3 m'
_space_group_IT_number 166
_space_group_name_Hall '-R 3 2"'
loop_
_atom_site_label
_atom_site_type_symbol
_atom_site_fract_x
_atom_site_fract_y
_atom_site_fract_z
Y1 Y 0.0000 0.0000 0.0000
Y2 Y 0.0000 0.0000 0.2496
Ho1 Ho 0.0000 0.0000 0.5000
Zn1 Zn 0.0000 0.0000 0.1252
Zn2 Zn 0.0000 0.0000 0.3753
```

Here is an optimized crystal structure of ErGa2IO8 from the Alexandria database. Energies are from GGA-PBE.

For the uncorrected formation energy, the calculation gives -1.518 eV/atom. The calculation puts the total moment at 0.0 Bohr magnetons per cell. The density is 6.39 g/cm3.

```
data_ErGa2IO8
_cell_length_a 6.916
_cell_length_b 6.435
_cell_length_c 6.606
_cell_angle_alpha 90.00
_cell_angle_beta 96.94
_cell_angle_gamma 90.00
_space_group_name_H-M_alt 'C 1 2/m 1'
_space_group_IT_number 12
loop_
_space_group_symop_operation_xyz
'x,y,z'
'-x,-y,-z'
'-x,y,-z'
'x,-y,z'
'x+1/2,y+1/2,z'
'-x+1/2,-y+1/2,-z'
'-x+1/2,y+1/2,-z'
'x+1/2,-y+1/2,z'
loop_
_atom_site_label
_atom_site_type_symbol
_atom_site_fract_x
_atom_site_fract_y
_atom_site_fract_z
Er1 Er 0.000 0.000 0.000
Ga1 Ga 0.044 0.500 0.223
I1 I 0.000 0.000 0.500
O1 O 0.006 0.200 0.718
O2 O 0.180 0.500 0.987
O3 O 0.226 0.500 0.474
```

Here is an optimized crystal structure of HfHRh3 from the Alexandria database. Energies are from GGA-PBE.

For the energy above the most stable polymorph in this dataset, the calculation gives 519 meV per atom. The calculation puts the total moment at 0.0 Bohr magnetons per cell. The density is 11.91 g/cm3.

```
data_HfHRh3
_cell_length_a 4.4558
_cell_length_b 4.4558
_cell_length_c 7.9181
_cell_angle_alpha 90.00
_cell_angle_beta 90.00
_cell_angle_gamma 120.00
_space_group_name_H-M_alt 'P 63/m m c'
_space_group_IT_number 194
_space_group_name_Hall '-P 6c 2c'
loop_
_atom_site_label
_atom_site_type_symbol
_atom_site_fract_x
_atom_site_fract_y
_atom_site_fract_z
Hf1 Hf 0.3333 0.6667 0.2500
H1 H 0.0000 0.0000 0.0000
Rh1 Rh 0.0000 0.0000 0.2500
Rh2 Rh 0.3333 0.6667 0.5759
```

Here is an optimized crystal structure of TbCe2C2 from the Alexandria database. Energies are from GGA-PBE.

For the energy above the most stable polymorph in this dataset, the calculation gives 0 meV per atom. For the energy of formation, the calculation gives -0.126 eV per atom. The calculation puts the total moment at 0.0 Bohr magnetons per cell. The density is 7.52 g/cm3.

```
data_TbCe2C2
_cell_length_a 11.488
_cell_length_b 5.215
_cell_length_c 7.245
_cell_angle_alpha 90.00
_cell_angle_beta 109.43
_cell_angle_gamma 90.00
_space_group_name_H-M_alt 'C 1 2/m 1'
_space_group_IT_number 12
loop_
_space_group_symop_operation_xyz
'x,y,z'
'-x,-y,-z'
'-x,y,-z'
'x,-y,z'
'x+1/2,y+1/2,z'
'-x+1/2,-y+1/2,-z'
'-x+1/2,y+1/2,-z'
'x+1/2,-y+1/2,z'
loop_
_atom_site_label
_atom_site_type_symbol
_atom_site_fract_x
_atom_site_fract_y
_atom_site_fract_z
Tb1 Tb 0.160 0.000 0.091
Ce1 Ce 0.002 0.500 0.741
Ce2 Ce 0.165 0.000 0.582
C1 C 0.004 0.000 0.255
C2 C 0.158 0.500 0.581
```

Here is an optimized crystal structure of BaPmPd from the Alexandria database. Energies are from GGA-PBE.

For the energy above the most stable polymorph in this dataset, the calculation gives 0 meV per atom. For the energy of formation, the calculation gives -0.385 eV per atom. The calculation puts the total moment at 0.0 Bohr magnetons per cell. The density is 6.45 g/cm3.

```
data_BaPmPd
_cell_length_a 3.796
_cell_length_b 3.796
_cell_length_c 13.896
_cell_angle_alpha 90.00
_cell_angle_beta 90.00
_cell_angle_gamma 90.00
_space_group_name_H-M_alt 'I 4 m m'
_space_group_IT_number 107
_space_group_name_Hall 'I 4 -2'
loop_
_atom_site_label
_atom_site_type_symbol
_atom_site_fract_x
_atom_site_fract_y
_atom_site_fract_z
Ba1 Ba 0.000 0.000 0.000
Pm1 Pm 0.000 0.000 0.258
Pd1 Pd 0.000 0.000 0.664
```

Here is an optimized crystal structure of NdHo2Hg3 from the Alexandria database. Energies are from GGA-PBE.

For the energy of formation, the calculation gives -0.476 eV per atom. The calculation puts the total moment at 0.7 Bohr magnetons per cell. The density is 11.29 g/cm3.

```
data_NdHo2Hg3
_cell_length_a 3.743
_cell_length_b 3.743
_cell_length_c 11.302
_cell_angle_alpha 90.00
_cell_angle_beta 90.00
_cell_angle_gamma 90.00
_space_group_name_H-M_alt 'P 4/m m m'
_space_group_IT_number 123
_space_group_name_Hall '-P 4 2'
loop_
_atom_site_label
_atom_site_type_symbol
_atom_site_fract_x
_atom_site_fract_y
_atom_site_fract_z
Nd1 Nd 0.000 0.000 0.000
Ho1 Ho 0.000 0.000 0.337
Hg1 Hg 0.500 0.500 0.181
Hg2 Hg 0.500 0.500 0.500
```

Here is an optimized crystal structure of BiHPt2Rh from the Alexandria database. Energies are from GGA-PBE.

The calculation puts the total moment at 0.0 Bohr magnetons per cell. The density is 15.88 g/cm3. Its energy is -26.487 eV/cell.

```
data_BiHPt2Rh
_cell_length_a 4.121
_cell_length_b 4.121
_cell_length_c 4.329
_cell_angle_alpha 90.00
_cell_angle_beta 90.00
_cell_angle_gamma 90.00
_space_group_name_H-M_alt 'P 4/m m m'
_space_group_IT_number 123
_space_group_name_Hall '-P 4 2'
loop_
_atom_site_label
_atom_site_type_symbol
_atom_site_fract_x
_atom_site_fract_y
_atom_site_fract_z
Bi1 Bi 0.000 0.000 0.000
H1 H 0.500 0.500 0.500
Pt1 Pt 0.000 0.500 0.500
Rh1 Rh 0.500 0.500 0.000
```

Here is an optimized crystal structure of SmOsS from the Alexandria database. Energies are from GGA-PBE.

For the uncorrected formation energy, the calculation gives -0.049 eV/atom. The calculation puts the total moment at 0.0 Bohr magnetons per cell. The density is 10.44 g/cm3.

```
data_SmOsS
_cell_length_a 11.135
_cell_length_b 3.308
_cell_length_c 6.438
_cell_angle_alpha 90.00
_cell_angle_beta 90.00
_cell_angle_gamma 90.00
_space_group_name_H-M_alt 'A m m 2'
_space_group_IT_number 38
loop_
_space_group_symop_operation_xyz
'x,y,z'
'-x,-y,z'
'-x,y,z'
'x,-y,z'
'x,y+1/2,z+1/2'
'-x,-y+1/2,z+1/2'
'-x,y+1/2,z+1/2'
'x,-y+1/2,z+1/2'
loop_
_atom_site_label
_atom_site_type_symbol
_atom_site_fract_x
_atom_site_fract_y
_atom_site_fract_z
Sm1 Sm 0.188 0.000 0.000
Os1 Os 0.000 0.000 0.316
Os2 Os 0.500 0.000 0.033
S1 S 0.374 0.000 0.326
```